GGA+U Na3Li6Mn5O9, optimized geometry; space group = No. 1; total moment = 24.5 Bohr magnetons per cell; raw total energy = -0.2119 hartree per atom
1.0
5.9001 0.0000 0.0000
-2.9179 5.1288 0.0000
-1.0079 -1.7322 9.0382
Na Li Mn O
3 6 5 9
Direct
0.0000 0.0000 0.0000
0.3209 0.6796 0.9999
0.6782 0.3575 0.0057
0.0927 0.7720 0.2480
0.1444 0.5042 0.4281
0.2371 0.1882 0.5095
0.5094 0.9155 0.5102
0.8144 0.4934 0.5423
0.8252 0.8234 0.4281
0.2696 0.9492 0.7357
0.4169 0.4169 0.2502
0.5672 0.5785 0.7375
0.7374 0.0963 0.2505
0.8999 0.2466 0.7376
0.0651 0.4179 0.1989
0.1388 0.8178 0.4958
0.2681 0.2923 0.8310
0.3816 0.0608 0.1691
0.5039 0.5534 0.4910
0.6128 0.9469 0.8302
0.7387 0.7446 0.1988
0.8744 0.1829 0.4911
0.9446 0.6237 0.8016